[1]
Material: BaSc3Cl
Method: DFT, PBE
State: optimized geometry

Structure (POSCAR):
```
BaSc3Cl
1.0
5.148 0.000 0.000
0.000 5.148 0.000
0.000 0.000 5.148
Ba Sc Cl
1 3 1
direct
0.000 0.000 0.000
0.000 0.500 0.500
0.500 0.000 0.500
0.500 0.500 0.000
0.500 0.500 0.500
```

Summary:
crystal system	cubic
magnetic moment	0.0000	μB/atom
formation energy without anion corrections	-118	meV/atom
density of states at the Fermi level	7.89	states/eV per cell
offset from the most stable computed form	0.0000	eV/atom

=====

[2]
Material: BaScCl
Method: DFT, PBE
State: optimized geometry

Structure (POSCAR):
```
BaScCl
1.0
0.000 3.119 7.465
1.980 0.000 7.465
1.980 3.119 0.000
Ba Sc Cl
1 1 1
direct
0.000 0.000 0.000
0.695 0.695 0.305
0.320 0.320 0.680
```

Summary:
crystal system	orthorhombic
magnetic moment	0.0000	μB/atom
formation energy without anion corrections	-648	meV/atom
density of states at the Fermi level	2.55	states/eV per cell
offset from the most stable computed form	0.0681	eV/atom

=====

[3]
Material: BaScCl
Method: DFT, PBE
State: optimized geometry

Structure (POSCAR):
```
BaScCl
1.0
-1.792 1.792 7.002
1.792 -1.792 7.002
1.792 1.792 -7.002
Ba Sc Cl
1 1 1
direct
0.000 0.000 0.000
0.702 0.702 0.000
0.321 0.321 0.000
```

Summary:
crystal system	tetragonal
magnetic moment	0.5423	μB/atom
formation energy without anion corrections	-579	meV/atom
density of states at the Fermi level	3.58	states/eV per cell
offset from the most stable computed form	0.1374	eV/atom

=====

[4]
Material: BaScCl
Method: DFT, PBE
State: optimized geometry

Structure (POSCAR):
```
BaScCl
1.0
3.765 0.000 0.000
-1.882 3.260 0.000
0.000 0.000 7.424
Ba Sc Cl
1 1 1
direct
0.000 0.000 0.000
0.333 0.667 0.598
0.667 0.333 0.358
```

Summary:
crystal system	trigonal
magnetic moment	0.4513	μB/atom
formation energy without anion corrections	-717	meV/atom
density of states at the Fermi level	2.37	states/eV per cell
offset from the most stable computed form	0.0000	eV/atom

=====

[5]
Material: BaScCl5
Method: DFT, PBE
State: optimized geometry

Structure (POSCAR):
```
BaScCl5
1.0
5.990 -4.229 0.000
5.990 4.229 0.000
-4.148 0.000 9.209
Ba Sc Cl
2 2 10
direct
0.057 0.943 0.750
0.943 0.057 0.250
0.500 0.500 0.000
0.500 0.500 0.500
0.169 0.748 0.016
0.227 0.335 0.385
0.252 0.831 0.484
0.335 0.227 0.885
0.437 0.563 0.750
0.563 0.437 0.250
0.665 0.773 0.115
0.748 0.169 0.516
0.773 0.665 0.615
0.831 0.252 0.984
```

Summary:
crystal system	monoclinic
magnetic moment	0.0000	μB/atom
formation energy without anion corrections	-2253	meV/atom
density of states at the Fermi level	0.00	states/eV per cell

=====

[6]
Material: Ba3ScCl
Method: DFT, PBE
State: optimized geometry

Structure (POSCAR):
```
Ba3ScCl
1.0
6.479 0.000 0.000
0.000 6.479 0.000
0.000 0.000 6.479
Ba Sc Cl
3 1 1
direct
0.000 0.000 0.500
0.000 0.500 0.000
0.500 0.000 0.000
0.000 0.000 0.000
0.500 0.500 0.500
```

Summary:
crystal system	cubic
magnetic moment	0.0001	μB/atom
formation energy without anion corrections	148	meV/atom
density of states at the Fermi level	9.57	states/eV per cell

=====

[7]
Material: BaSc3Cl
Method: DFT, PBE
State: optimized geometry

Structure (POSCAR):
```
BaSc3Cl
1.0
5.508 0.000 0.000
0.000 5.508 0.000
0.000 0.000 5.508
Ba Sc Cl
1 3 1
direct
0.000 0.000 0.000
0.000 0.000 0.500
0.000 0.500 0.000
0.500 0.000 0.000
0.500 0.500 0.500
```

Summary:
crystal system	cubic
magnetic moment	0.0000	μB/atom
formation energy without anion corrections	1203	meV/atom
density of states at the Fermi level	4.52	states/eV per cell
offset from the most stable computed form	1.3216	eV/atom

=====

[8]
Material: BaSc4Cl
Method: DFT, PBE
State: optimized geometry

Structure (POSCAR):
```
BaSc4Cl
1.0
0.000 4.565 4.565
4.565 0.000 4.565
4.565 4.565 0.000
Ba Sc Cl
1 4 1
direct
0.000 0.000 0.000
0.373 0.373 0.373
0.373 0.373 0.882
0.373 0.882 0.373
0.882 0.373 0.373
0.750 0.750 0.750
```

Summary:
crystal system	cubic
magnetic moment	0.4123	μB/atom
formation energy without anion corrections	342	meV/atom
density of states at the Fermi level	12.41	states/eV per cell

=====

[9]
Material: BaScCl
Method: DFT, PBE
State: optimized geometry

Structure (POSCAR):
```
BaScCl
1.0
0.000 4.094 4.094
4.094 0.000 4.094
4.094 4.094 0.000
Ba Sc Cl
1 1 1
direct
0.000 0.000 0.000
0.750 0.750 0.750
0.250 0.250 0.250
```

Summary:
crystal system	cubic
magnetic moment	0.6702	μB/atom
formation energy without anion corrections	164	meV/atom
density of states at the Fermi level	7.46	states/eV per cell
offset from the most stable computed form	0.8806	eV/atom

=====

[10]
Material: Ba4ScCl
Method: DFT, PBE
State: optimized geometry

Structure (POSCAR):
```
Ba4ScCl
1.0
0.000 5.368 5.368
5.368 0.000 5.368
5.368 5.368 0.000
Ba Sc Cl
4 1 1
direct
0.376 0.376 0.376
0.376 0.376 0.872
0.376 0.872 0.376
0.872 0.376 0.376
0.750 0.750 0.750
0.000 0.000 0.000
```

Summary:
crystal system	cubic
magnetic moment	0.6395	μB/atom
formation energy without anion corrections	308	meV/atom
density of states at the Fermi level	11.75	states/eV per cell

=====

[11]
Material: BaScCl
Method: DFT, PBE
State: optimized geometry

Structure (POSCAR):
```
BaScCl
1.0
0.000 3.696 3.696
3.696 0.000 3.696
3.696 3.696 0.000
Ba Sc Cl
1 1 1
direct
0.000 0.000 0.000
0.500 0.500 0.500
0.250 0.250 0.250
```

Summary:
crystal system	cubic
magnetic moment	0.6594	μB/atom
formation energy without anion corrections	-307	meV/atom
density of states at the Fermi level	2.43	states/eV per cell
offset from the most stable computed form	0.4098	eV/atom

=====

[12]
Material: Ba2ScCl7
Method: DFT, PBE
State: optimized geometry

Structure (POSCAR):
```
Ba2ScCl7
1.0
7.119 0.000 0.000
0.000 13.727 0.000
-1.763 0.000 12.489
Ba Sc Cl
8 4 28
direct
0.182 0.000 0.261
0.241 0.176 0.731
0.244 0.419 0.376
0.272 0.766 0.862
0.728 0.266 0.138
0.756 0.919 0.624
0.759 0.676 0.269
0.818 0.500 0.739
0.294 0.716 0.451
0.359 0.486 0.956
0.641 0.986 0.044
0.706 0.216 0.549
0.026 0.838 0.421
0.064 0.584 0.956
0.065 0.593 0.498
0.106 0.219 0.283
0.134 0.964 0.762
0.139 0.357 0.864
0.219 0.659 0.263
0.354 0.889 0.074
0.359 0.406 0.132
0.390 0.559 0.774
0.396 0.783 0.630
0.446 0.088 0.531
0.455 0.130 0.966
0.486 0.340 0.616
0.514 0.840 0.384
0.545 0.630 0.034
0.554 0.588 0.469
0.604 0.283 0.370
0.610 0.059 0.226
0.641 0.906 0.868
0.646 0.389 0.926
0.781 0.159 0.737
0.861 0.857 0.136
0.866 0.464 0.238
0.894 0.719 0.717
0.935 0.093 0.502
0.936 0.084 0.044
0.974 0.338 0.579
```

Summary:
crystal system	monoclinic
magnetic moment	0.0000	μB/atom
formation energy without anion corrections	-2362	meV/atom
density of states at the Fermi level	0.00	states/eV per cell

=====

[13]
Material: Ba2ScSiCl
Method: DFT, PBE
State: optimized geometry

Structure (POSCAR):
```
Ba2ScSiCl
1.0
6.551 0.000 0.000
0.000 6.551 0.000
0.000 0.000 5.006
Ba Sc Si Cl
2 1 1 1
direct
0.000 0.500 0.000
0.500 0.000 0.000
0.000 0.000 0.500
0.500 0.500 0.000
0.500 0.500 0.500
```

Summary:
crystal system	tetragonal
magnetic moment	0.5017	μB/atom
formation energy without anion corrections	241	meV/atom
density of states at the Fermi level	6.50	states/eV per cell

=====

[14]
Material: BaScTe2Cl
Method: DFT, PBE
State: optimized geometry

Structure (POSCAR):
```
BaScTe2Cl
1.0
5.765 0.000 0.000
0.000 5.765 0.000
0.000 0.000 4.970
Ba Sc Te Cl
1 1 2 1
direct
0.000 0.000 0.000
0.500 0.500 0.500
0.000 0.500 0.500
0.500 0.000 0.500
0.500 0.500 0.000
```

Summary:
crystal system	tetragonal
magnetic moment	0.0000	μB/atom
formation energy without anion corrections	-1624	meV/atom
density of states at the Fermi level	0.00	states/eV per cell

=====

[15]
Material: BaZrScCl2
Method: DFT, PBE
State: optimized geometry

Structure (POSCAR):
```
BaZrScCl2
1.0
4.980 0.000 0.000
0.000 4.980 0.000
0.000 0.000 8.106
Ba Zr Sc Cl
1 1 1 2
direct
0.000 0.000 0.000
0.500 0.500 0.000
0.000 0.000 0.500
0.000 0.500 0.500
0.500 0.000 0.500
```

Summary:
crystal system	tetragonal
magnetic moment	0.8006	μB/atom
formation energy without anion corrections	-89	meV/atom
density of states at the Fermi level	5.01	states/eV per cell

=====

[16]
Material: BaSe3Cl
Method: DFT, PBE
State: optimized geometry

Structure (POSCAR):
```
BaSe3Cl
1.0
5.184 0.000 0.000
0.000 5.184 0.000
0.000 0.000 5.184
Ba Se Cl
1 3 1
direct
0.000 0.000 0.000
0.000 0.500 0.500
0.500 0.000 0.500
0.500 0.500 0.000
0.500 0.500 0.500
```

Summary:
crystal system	cubic
magnetic moment	0.0000	μB/atom
formation energy without anion corrections	-384	meV/atom
density of states at the Fermi level	2.74	states/eV per cell
offset from the most stable computed form	0.0000	eV/atom

=====

[17]
Material: Ba3Se2Cl
Method: DFT, PBE
State: optimized geometry

Structure (POSCAR):
```
Ba3Se2Cl
1.0
2.339 -7.932 0.000
2.339 7.932 0.000
0.000 0.000 14.415
Ba Se Cl
6 4 2
direct
0.118 0.882 0.580
0.118 0.882 0.920
0.381 0.619 0.750
0.619 0.381 0.250
0.882 0.118 0.080
0.882 0.118 0.420
0.004 0.996 0.750
0.500 0.500 0.000
0.500 0.500 0.500
0.996 0.004 0.250
0.270 0.730 0.250
0.730 0.270 0.750
```

Summary:
crystal system	orthorhombic
magnetic moment	0.1256	μB/atom
formation energy without anion corrections	-1716	meV/atom
density of states at the Fermi level	3.21	states/eV per cell

=====

[18]
Material: Ba2SeCl
Method: DFT, PBE
State: optimized geometry

Structure (POSCAR):
```
Ba2SeCl
1.0
2.330 1.345 7.479
-2.330 1.345 7.479
0.000 -2.690 7.479
Ba Se Cl
2 1 1
direct
0.247 0.247 0.247
0.753 0.753 0.753
0.500 0.500 0.500
0.000 0.000 0.000
```

Summary:
crystal system	trigonal
magnetic moment	0.0000	μB/atom
formation energy without anion corrections	-1939	meV/atom
density of states at the Fermi level	2.03	states/eV per cell
offset from the most stable computed form	0.0000	eV/atom

=====

[19]
Material: BaSeCl4
Method: DFT, PBE
State: optimized geometry

Structure (POSCAR):
```
BaSeCl4
1.0
0.000 4.346 4.346
4.346 0.000 4.346
4.346 4.346 0.000
Ba Se Cl
1 1 4
direct
0.000 0.000 0.000
0.250 0.250 0.250
0.123 0.626 0.626
0.626 0.123 0.626
0.626 0.626 0.123
0.626 0.626 0.626
```

Summary:
crystal system	cubic
magnetic moment	0.6737	μB/atom
formation energy without anion corrections	-459	meV/atom
density of states at the Fermi level	5.59	states/eV per cell

=====

[20]
Material: Ba2SeCl
Method: DFT, PBE
State: optimized geometry

Structure (POSCAR):
```
Ba2SeCl
1.0
-3.637 3.637 7.355
3.637 -3.637 7.355
3.637 3.637 -7.355
Ba Se Cl
4 2 2
direct
0.120 0.625 0.995
0.375 0.370 0.495
0.630 0.125 0.005
0.875 0.880 0.505
0.000 0.000 0.000
0.750 0.250 0.500
0.250 0.750 0.500
0.500 0.500 0.000
```

Summary:
crystal system	tetragonal
magnetic moment	0.2128	μB/atom
formation energy without anion corrections	-1708	meV/atom
density of states at the Fermi level	7.11	states/eV per cell
offset from the most stable computed form	0.2310	eV/atom

=====

[21]
Material: Ba2SeCl
Method: DFT, PBE
State: optimized geometry

Structure (POSCAR):
```
Ba2SeCl
1.0
4.110 0.000 0.000
0.000 4.144 0.000
-0.051 0.000 8.398
Ba Se Cl
2 1 1
direct
0.002 0.000 0.223
0.998 0.000 0.777
0.500 0.500 0.000
0.000 0.500 0.500
```

Summary:
crystal system	monoclinic
magnetic moment	0.0003	μB/atom
formation energy without anion corrections	-1744	meV/atom
density of states at the Fermi level	2.16	states/eV per cell
offset from the most stable computed form	0.1955	eV/atom

=====

[22]
Material: Ba2SeCl
Method: DFT, PBE
State: optimized geometry

Structure (POSCAR):
```
Ba2SeCl
1.0
4.814 0.000 0.000
0.000 2.187 6.540
0.000 -2.187 6.540
Ba Se Cl
2 1 1
direct
0.000 0.000 0.000
0.500 0.267 0.267
0.000 0.743 0.743
0.500 0.505 0.505
```

Summary:
crystal system	orthorhombic
magnetic moment	0.0001	μB/atom
formation energy without anion corrections	-1792	meV/atom
density of states at the Fermi level	2.57	states/eV per cell
offset from the most stable computed form	0.1470	eV/atom

=====

[23]
Material: Ba2SeCl
Method: DFT, PBE
State: optimized geometry

Structure (POSCAR):
```
Ba2SeCl
1.0
-2.157 2.171 7.794
2.157 -2.171 7.794
2.157 2.171 -7.794
Ba Se Cl
2 1 1
direct
0.000 0.000 0.000
0.766 0.266 0.500
0.420 0.420 0.000
0.166 0.666 0.500
```

Summary:
crystal system	orthorhombic
magnetic moment	0.1850	μB/atom
formation energy without anion corrections	-1787	meV/atom
density of states at the Fermi level	2.39	states/eV per cell
offset from the most stable computed form	0.1522	eV/atom

=====

[24]
Material: Ba5Se4Cl
Method: DFT, PBE
State: optimized geometry

Structure (POSCAR):
```
Ba5Se4Cl
1.0
-2.352 3.311 11.710
2.352 -3.311 11.710
2.352 3.311 -11.710
Ba Se Cl
5 4 1
direct
0.000 0.000 0.000
0.200 0.200 0.000
0.395 0.395 0.000
0.605 0.605 0.000
0.800 0.800 0.000
0.098 0.598 0.500
0.301 0.801 0.500
0.699 0.199 0.500
0.902 0.402 0.500
0.500 0.000 0.500
```

Summary:
crystal system	orthorhombic
magnetic moment	0.0000	μB/atom
formation energy without anion corrections	-2018	meV/atom
density of states at the Fermi level	2.79	states/eV per cell

=====

[25]
Material: Ba4SeCl
Method: DFT, PBE
State: optimized geometry

Structure (POSCAR):
```
Ba4SeCl
1.0
0.000 5.103 5.103
5.103 0.000 5.103
5.103 5.103 0.000
Ba Se Cl
4 1 1
direct
0.376 0.376 0.376
0.376 0.376 0.873
0.376 0.873 0.376
0.873 0.376 0.376
0.750 0.750 0.750
0.000 0.000 0.000
```

Summary:
crystal system	cubic
magnetic moment	0.2269	μB/atom
formation energy without anion corrections	-238	meV/atom
density of states at the Fermi level	7.02	states/eV per cell

=====

[26]
Material: Ba2SeCl
Method: DFT, PBE
State: optimized geometry

Structure (POSCAR):
```
Ba2SeCl
1.0
2.279 1.316 8.116
-2.279 1.316 8.116
0.000 -2.631 8.116
Ba Se Cl
2 1 1
direct
0.000 0.000 0.000
0.181 0.181 0.181
0.588 0.588 0.588
0.760 0.760 0.760
```

Summary:
crystal system	trigonal
magnetic moment	0.1375	μB/atom
formation energy without anion corrections	-1890	meV/atom
density of states at the Fermi level	2.21	states/eV per cell
offset from the most stable computed form	0.0493	eV/atom